[1]
The following is a DFT calculation (GGA-PBE) of a relaxed structure of Sr2TeCl.

The value obtained for the density of states at the Fermi level is 2.9 states/eV/cell. Its formation energy from raw total energies is -1.626 eV per atom. The energy above the lowest structure with this stoichiometry comes out at 0.031 eV per atom.

The space group is R3m (No. 160, hexagonal axes) and the conventional cell measures 4.5695, 4.5695 and 23.1659 Å, with angles of 90.00, 90.00 and 120.00 degrees. Symmetry generates all atoms from Sr at (0.0000, 0.0000, 0.0000), Sr at (0.0000, 0.0000, 0.1763), Te at (0.0000, 0.0000, 0.7570) and Cl at (0.0000, 0.0000, 0.5752).



[2]
The following is a DFT calculation (GGA-PBE) of a relaxed structure of Ba2CeW2N6.

Its formation energy from raw total energies is -0.871 eV per atom.

The space group is C2/m (No. 12) and the conventional cell measures 10.8968, 6.2193 and 7.2999 Å, with angles of 90.00, 122.34 and 90.00 degrees. Symmetry generates all atoms from Ba at (0.2113, 0.0000, 0.1855), Ce at (0.0000, 0.0000, 0.5000), W at (0.0437, 0.5000, 0.2151), N at (0.0450, 0.2521, 0.7714) and N at (0.2438, 0.5000, 0.3675).



[3]
The following is a DFT calculation (GGA-PBE) of a relaxed structure of RbTaPd3.

The value obtained for the density of states at the Fermi level is 7.1 states/eV/cell. The formation energy comes out at 48.11 kcal/mol of atoms. The energy above the lowest structure with this stoichiometry comes out at 1.519 eV per atom.

The space group is Pm-3m (No. 221) and the conventional cell measures 4.9664, 4.9664 and 4.9664 Å, with angles of 90.00, 90.00 and 90.00 degrees. Symmetry generates all atoms from Rb at (0.0000, 0.0000, 0.0000), Ta at (0.5000, 0.5000, 0.5000) and Pd at (0.0000, 0.0000, 0.5000).



[4]
The following is a DFT calculation (GGA-PBE) of a relaxed structure of EuPtPb.

The value obtained for the density of states at the Fermi level is 10.1 states/eV/cell. The formation energy comes out at -14.76 kcal/mol of atoms.

The space group is P-6m2 (No. 187) and the conventional cell measures 4.7964, 4.7964 and 3.8762 Å, with angles of 90.00, 90.00 and 120.00 degrees. Symmetry generates all atoms from Eu at (0.0000, 0.0000, 0.0000), Pt at (0.3333, 0.6667, 0.5000) and Pb at (0.6667, 0.3333, 0.5000).



[5]
The following is a DFT calculation (GGA-PBE) of a relaxed structure of YZr3.

The value obtained for the density of states at the Fermi level is 11.3 states/eV/cell. The formation energy comes out at 2.39 kcal/mol of atoms. The energy above the lowest structure with this stoichiometry comes out at 0.051 eV per atom.

The space group is C2/m (No. 12) and the conventional cell measures 10.7895, 3.2391 and 5.7864 Å, with angles of 90.00, 98.60 and 90.00 degrees. Symmetry generates all atoms from Y at (0.0000, 0.0000, 0.0000), Zr at (0.0000, 0.5000, 0.5000) and Zr at (0.2450, 0.0000, 0.7307).



[6]
The following is a DFT calculation (GGA-PBE) of a relaxed structure of ZnN.

The value obtained for the density of states at the Fermi level is 8.8 states/eV/cell. Its formation energy from raw total energies is 0.752 eV per atom. The energy above the lowest structure with this stoichiometry comes out at 0.525 eV per atom.

The space group is P2_12_12_1 (No. 19) and the conventional cell measures 5.6866, 5.9231 and 6.5823 Å, with angles of 90.00, 90.00 and 90.00 degrees. Symmetry generates all atoms from Zn at (0.1572, 0.0523, 0.2195), Zn at (0.1998, 0.5757, 0.9566), N at (0.1401, 0.3920, 0.1946) and N at (0.1521, 0.1121, 0.5285).



[7]
The following is a DFT calculation (GGA-PBE) of a relaxed structure of Ac2AgPd.

The value obtained for the density of states at the Fermi level is 6.9 states/eV/cell. The formation energy comes out at -2.36 kcal/mol of atoms.

The space group is R-3m (No. 166, hexagonal axes) and the conventional cell measures 4.4218, 4.4218 and 28.9907 Å, with angles of 90.00, 90.00 and 120.00 degrees. Symmetry generates all atoms from Ac at (0.0000, 0.0000, 0.1100), Ag at (0.0000, 0.0000, 0.0000) and Pd at (0.0000, 0.0000, 0.5000).



[8]
The following is a DFT calculation (GGA-PBE) of a relaxed structure of TiGa3Sn.

The value obtained for the density of states at the Fermi level is 6.5 states/eV/cell. The formation energy comes out at 8.49 kcal/mol of atoms. The energy above the lowest structure with this stoichiometry comes out at 0.000 eV per atom.

The space group is Pm-3m (No. 221) and the conventional cell measures 4.9965, 4.9965 and 4.9965 Å, with angles of 90.00, 90.00 and 90.00 degrees. Symmetry generates all atoms from Ti at (0.0000, 0.0000, 0.0000), Ga at (0.0000, 0.0000, 0.5000) and Sn at (0.5000, 0.5000, 0.5000).



[9]
The following is a DFT calculation (GGA-PBE) of a relaxed structure of Ca2ReN.

The value obtained for the density of states at the Fermi level is 13.9 states/eV/cell. Its formation energy from raw total energies is -0.139 eV per atom.

The space group is I-42d (No. 122) and the conventional cell measures 9.9209, 9.9209 and 3.8332 Å, with angles of 90.00, 90.00 and 90.00 degrees. Symmetry generates all atoms from Ca at (0.0689, 0.2500, 0.1250), Re at (0.0000, 0.0000, 0.5000) and N at (0.0000, 0.0000, 0.0000).



[10]
The following is a DFT calculation (GGA-PBE) of a relaxed structure of Li2ZrTe.

The value obtained for the density of states at the Fermi level is 7.1 states/eV/cell. Its formation energy from raw total energies is -0.208 eV per atom.

The space group is I4/mmm (No. 139) and the conventional cell measures 4.0642, 4.0642 and 10.5331 Å, with angles of 90.00, 90.00 and 90.00 degrees. Symmetry generates all atoms from Li at (0.0000, 0.5000, 0.2500), Zr at (0.0000, 0.0000, 0.0000) and Te at (0.0000, 0.0000, 0.5000).



[11]
The following is a DFT calculation (GGA-PBE) of a relaxed structure of NpGe2Pt7Pb2.

The value obtained for the density of states at the Fermi level is 24.0 states/eV/cell. The formation energy comes out at -9.32 kcal/mol of atoms.

The space group is I4/mmm (No. 139) and the conventional cell measures 3.9913, 3.9913 and 31.6856 Å, with angles of 90.00, 90.00 and 90.00 degrees. Symmetry generates all atoms from Np at (0.0000, 0.0000, 0.0000), Ge at (0.0000, 0.0000, 0.3809), Pt at (0.0000, 0.0000, 0.3044), Pt at (0.0000, 0.0000, 0.5000), Pt at (0.0000, 0.5000, 0.0701) and Pb at (0.0000, 0.0000, 0.2118).



[12]
The following is a DFT calculation (GGA-PBE) of a relaxed structure of LuPuMgCd.

The value obtained for the density of states at the Fermi level is 33.9 states/eV/cell. The formation energy comes out at 0.28 kcal/mol of atoms.

The space group is F-43m (No. 216) and the conventional cell measures 7.4721, 7.4721 and 7.4721 Å, with angles of 90.00, 90.00 and 90.00 degrees. Symmetry generates all atoms from Lu at (0.0000, 0.0000, 0.0000), Pu at (0.0000, 0.0000, 0.5000), Mg at (0.2500, 0.2500, 0.7500) and Cd at (0.2500, 0.2500, 0.2500).



[13]
The following is a DFT calculation (GGA-PBE) of a relaxed structure of PrB4.

The value obtained for the density of states at the Fermi level is 6.1 states/eV/cell. The formation energy comes out at 74.75 kcal/mol of atoms. The energy above the lowest structure with this stoichiometry comes out at 3.783 eV per atom.

The space group is Pm-3m (No. 221) and the conventional cell measures 4.8207, 4.8207 and 4.8207 Å, with angles of 90.00, 90.00 and 90.00 degrees. Symmetry generates all atoms from Pr at (0.0000, 0.0000, 0.0000), B at (0.0000, 0.0000, 0.5000) and B at (0.5000, 0.5000, 0.5000).



[14]
The following is a DFT calculation (GGA-PBE) of a relaxed structure of ZrCuRe2.

The value obtained for the density of states at the Fermi level is 7.2 states/eV/cell. The formation energy comes out at 4.89 kcal/mol of atoms. The energy above the lowest structure with this stoichiometry comes out at 0.192 eV per atom.

The space group is R3m (No. 160, hexagonal axes) and the conventional cell measures 2.8242, 2.8242 and 28.0900 Å, with angles of 90.00, 90.00 and 120.00 degrees. Symmetry generates all atoms from Zr at (0.0000, 0.0000, 0.0000), Cu at (0.0000, 0.0000, 0.2464), Re at (0.0000, 0.0000, 0.5009) and Re at (0.0000, 0.0000, 0.7598).



[15]
The following is a DFT calculation (GGA-PBE) of a relaxed structure of YIn2Ru.

The value obtained for the density of states at the Fermi level is 11.6 states/eV/cell. The formation energy comes out at 1.20 kcal/mol of atoms.

The space group is R-3m (No. 166, hexagonal axes) and the conventional cell measures 3.3855, 3.3855 and 27.5648 Å, with angles of 90.00, 90.00 and 120.00 degrees. Symmetry generates all atoms from Y at (0.0000, 0.0000, 0.0000), In at (0.0000, 0.0000, 0.2369) and Ru at (0.0000, 0.0000, 0.5000).



[16]
The following is a DFT calculation (GGA-PBE) of a relaxed structure of Zr2ReSnH.

The value obtained for the density of states at the Fermi level is 3.3 states/eV/cell.

The space group is P4/mmm (No. 123) and the conventional cell measures 4.4824, 4.4824 and 4.0281 Å, with angles of 90.00, 90.00 and 90.00 degrees. Symmetry generates all atoms from Zr at (0.0000, 0.5000, 0.0000), Re at (0.0000, 0.0000, 0.5000), Sn at (0.5000, 0.5000, 0.5000) and H at (0.0000, 0.0000, 0.0000).



[17]
The following is a DFT calculation (GGA-PBE) of a relaxed structure of KAsPb2S4.

The value obtained for the density of states at the Fermi level is 6.6 states/eV/cell. Its formation energy from raw total energies is -0.400 eV per atom.

The space group is Imma (No. 74) and the conventional cell measures 8.2653, 8.3099 and 11.6509 Å, with angles of 90.00, 90.00 and 90.00 degrees. Symmetry generates all atoms from K at (0.2500, 0.2500, 0.2500), As at (0.0000, 0.0000, 0.0000), Pb at (0.0000, 0.0000, 0.5000), Pb at (0.2500, 0.2500, 0.7500), S at (0.0000, 0.0092, 0.7740) and S at (0.2240, 0.2500, 0.9985).



[18]
The following is a DFT calculation (GGA-PBE) of a relaxed structure of Li2HfFeOs.

The value obtained for the density of states at the Fermi level is 5.8 states/eV/cell. The formation energy comes out at 43.62 kcal/mol of atoms.

The space group is P4/mmm (No. 123) and the conventional cell measures 4.4521, 4.4521 and 4.2681 Å, with angles of 90.00, 90.00 and 90.00 degrees. Symmetry generates all atoms from Li at (0.0000, 0.5000, 0.0000), Hf at (0.0000, 0.0000, 0.0000), Fe at (0.0000, 0.0000, 0.5000) and Os at (0.5000, 0.5000, 0.5000).



[19]
The following is a DFT calculation (GGA-PBE) of a relaxed structure of Li3ScRh.

The value obtained for the density of states at the Fermi level is 4.4 states/eV/cell. The formation energy comes out at 6.38 kcal/mol of atoms. The energy above the lowest structure with this stoichiometry comes out at 0.000 eV per atom.

The space group is Pm-3m (No. 221) and the conventional cell measures 4.5251, 4.5251 and 4.5251 Å, with angles of 90.00, 90.00 and 90.00 degrees. Symmetry generates all atoms from Li at (0.0000, 0.0000, 0.5000), Sc at (0.5000, 0.5000, 0.5000) and Rh at (0.0000, 0.0000, 0.0000).



[20]
The following is a DFT calculation (GGA-PBE) of a relaxed structure of ErTm5Ga4.

The value obtained for the density of states at the Fermi level is 17.0 states/eV/cell. The formation energy comes out at -6.60 kcal/mol of atoms.

The space group is C2/m (No. 12) and the conventional cell measures 16.8917, 3.6204 and 8.6084 Å, with angles of 90.00, 94.55 and 90.00 degrees. Symmetry generates all atoms from Er at (0.0000, 0.0000, 0.0000), Tm at (0.0000, 0.0000, 0.5000), Tm at (0.1494, 0.5000, 0.7800), Tm at (0.1888, 0.5000, 0.3522), Ga at (0.0240, 0.5000, 0.2559) and Ga at (0.1859, 0.0000, 0.0605).



no.,volume (A^3/atom),total energy (eV per atom)
1,34.9,-3.714
2,19.0,-8.656
3,24.5,-3.594
4,25.7,-7.315
5,25.0,-7.923
6,13.9,-4.047
7,40.9,-4.168
8,24.9,-3.828
9,23.6,-6.334
10,21.7,-4.087
11,21.0,-6.394
12,26.1,-5.328
13,22.4,-3.057
14,16.2,-9.173
15,22.8,-5.252
16,16.2,-7.626
17,25.0,-4.109
18,16.9,-4.803
19,18.5,-3.608
20,26.2,-4.189